Compound: MgSc2Be
Source: Alexandria via LeMat-Bulk
Functional: PBE
Structure: optimized geometry

Computed properties:
Formation energy from the elements ... 0.138 eV/atom
D(E_F) ... 1.08 states/eV per atom

Lattice parameters (Å, degrees): 3.287 4.380 5.846 90.00 106.20 90.00
Space group Pm (No. 6)
One atom of each set of equivalent atoms:
Mg  0.000  0.000  0.000 [1 per cell]
Sc  0.278  0.000  0.554 [1 per cell]
Sc  0.618  0.500  0.236 [1 per cell]
Be  0.868  0.500  0.732 [1 per cell]